1.
VASP calculation (GGA-PBE) on a relaxed structure of InPdN2O. Values from VASP.

```
&SYSTEM
  ibrav = 0, nat = 5, ntyp = 4
/
ATOMIC_SPECIES
N 14.01 N.upf
O 16.00 O.upf
Pd 106.42 Pd.upf
In 114.82 In.upf
ATOMIC_POSITIONS crystal
N 0.500 0.000 0.000
N 0.000 0.500 0.000
O 0.000 0.000 0.500
Pd 0.500 0.500 0.500
In 0.000 0.000 0.000
CELL_PARAMETERS angstrom
4.225 0.000 0.000
0.000 4.225 0.000
0.000 0.000 4.157
```

Summary:
SG: P4/mmm
Mass density, g/cm3: 5.94
Energy relative to the elements, uncorrected, eV/atom: 1.53
DOS(E_F), states/eV/cell: 5.19

---

2.
VASP calculation (GGA-PBE) on a relaxed structure of InPdN2O. Values from VASP.

```
&SYSTEM
  ibrav = 0, nat = 5, ntyp = 4
/
ATOMIC_SPECIES
N 14.01 N.upf
Pd 106.42 Pd.upf
O 16.00 O.upf
In 114.82 In.upf
ATOMIC_POSITIONS crystal
N 0.500 0.000 0.000
N 0.000 0.500 0.000
Pd 0.000 0.000 0.000
O 0.000 0.000 0.500
In 0.500 0.500 0.500
CELL_PARAMETERS angstrom
4.018 0.000 0.000
0.000 4.018 0.000
0.000 0.000 4.247
```

Summary:
SG: P4/mmm
Mass density, g/cm3: 6.42
Energy relative to the elements, uncorrected, eV/atom: 1.04
DOS(E_F), states/eV/cell: 2.62

---

3.
VASP calculation (GGA-PBE) on a relaxed structure of Pm6In2NO. Values from VASP.

```
&SYSTEM
  ibrav = 0, nat = 20, ntyp = 4
/
ATOMIC_SPECIES
Pm 145.00 Pm.upf
In 114.82 In.upf
N 14.01 N.upf
O 16.00 O.upf
ATOMIC_POSITIONS crystal
Pm 0.252 0.498 0.500
Pm 0.248 0.502 0.000
Pm 0.248 0.998 0.000
Pm 0.500 0.250 0.252
Pm 0.000 0.750 0.248
Pm 0.000 0.750 0.752
Pm 0.752 0.998 0.000
Pm 0.500 0.250 0.748
Pm 0.748 0.498 0.500
Pm 0.252 0.002 0.500
Pm 0.752 0.502 0.000
Pm 0.748 0.002 0.500
In 0.500 0.750 0.750
In 0.000 0.250 0.250
In 0.000 0.250 0.750
In 0.500 0.750 0.250
N 0.000 0.750 0.000
N 0.500 0.250 0.500
O 0.000 0.750 0.500
O 0.500 0.250 0.000
CELL_PARAMETERS angstrom
7.021 0.000 0.000
0.000 7.021 0.000
0.000 0.000 9.935
```

Summary:
SG: Fm-3m
Mass density, g/cm3: 7.66
Energy relative to the elements, uncorrected, eV/atom: -1.18
DOS(E_F), states/eV/cell: 10.33

---

4.
VASP calculation (GGA-PBE) on a relaxed structure of InPtNO2. Values from VASP.

```
&SYSTEM
  ibrav = 0, nat = 5, ntyp = 4
/
ATOMIC_SPECIES
O 16.00 O.upf
In 114.82 In.upf
N 14.01 N.upf
Pt 195.08 Pt.upf
ATOMIC_POSITIONS crystal
O 0.500 0.000 0.000
O 0.000 0.500 0.000
In 0.000 0.000 0.000
N 0.000 0.000 0.500
Pt 0.500 0.500 0.500
CELL_PARAMETERS angstrom
4.127 0.000 0.000
0.000 4.127 0.000
0.000 0.000 4.259
```

Summary:
SG: P4/mmm
Mass density, g/cm3: 8.15
Energy relative to the elements, uncorrected, eV/atom: 1.01
DOS(E_F), states/eV/cell: 4.29

---

5.
VASP calculation (GGA-PBE) on a relaxed structure of InPtN2O. Values from VASP.

```
&SYSTEM
  ibrav = 0, nat = 5, ntyp = 4
/
ATOMIC_SPECIES
In 114.82 In.upf
Pt 195.08 Pt.upf
N 14.01 N.upf
O 16.00 O.upf
ATOMIC_POSITIONS crystal
In 0.500 0.500 0.500
Pt 0.000 0.000 0.000
N 0.500 0.000 0.000
N 0.000 0.500 0.000
O 0.000 0.000 0.500
CELL_PARAMETERS angstrom
3.929 0.000 0.000
0.000 3.929 0.000
0.000 0.000 4.348
```

Summary:
SG: P4/mmm
Mass density, g/cm3: 8.76
Energy relative to the elements, uncorrected, eV/atom: 0.90
DOS(E_F), states/eV/cell: 3.78

---

6.
VASP calculation (GGA-PBE) on a relaxed structure of InPtNO2. Values from VASP.

```
&SYSTEM
  ibrav = 0, nat = 5, ntyp = 4
/
ATOMIC_SPECIES
Pt 195.08 Pt.upf
O 16.00 O.upf
N 14.01 N.upf
In 114.82 In.upf
ATOMIC_POSITIONS crystal
Pt 0.000 0.000 0.000
O 0.500 0.000 0.000
O 0.000 0.500 0.000
N 0.000 0.000 0.500
In 0.500 0.500 0.500
CELL_PARAMETERS angstrom
4.229 0.000 0.000
0.000 4.229 0.000
0.000 0.000 3.755
```

Summary:
SG: P4/mmm
Mass density, g/cm3: 8.80
Energy relative to the elements, uncorrected, eV/atom: 0.22
DOS(E_F), states/eV/cell: 1.92

---

7.
VASP calculation (GGA-PBE) on a relaxed structure of InPtN2O. Values from VASP.

```
&SYSTEM
  ibrav = 0, nat = 5, ntyp = 4
/
ATOMIC_SPECIES
O 16.00 O.upf
N 14.01 N.upf
In 114.82 In.upf
Pt 195.08 Pt.upf
ATOMIC_POSITIONS crystal
O 0.000 0.000 0.500
N 0.000 0.500 0.000
N 0.500 0.000 0.000
In 0.000 0.000 0.000
Pt 0.500 0.500 0.500
CELL_PARAMETERS angstrom
-3.990 0.819 -1.173
-0.599 -4.112 -0.836
-1.260 -0.603 3.864
```

Summary:
SG: P4/mmm
Mass density, g/cm3: 7.96
Energy relative to the elements, uncorrected, eV/atom: 1.76
DOS(E_F), states/eV/cell: 5.33

---

8.
VASP calculation (GGA-PBE) on a relaxed structure of RbInN2O. Values from VASP.

```
&SYSTEM
  ibrav = 0, nat = 5, ntyp = 4
/
ATOMIC_SPECIES
Rb 85.47 Rb.upf
O 16.00 O.upf
In 114.82 In.upf
N 14.01 N.upf
ATOMIC_POSITIONS crystal
Rb 0.000 0.000 0.000
O 0.000 0.000 0.500
In 0.500 0.500 0.500
N 0.000 0.500 0.000
N 0.500 0.000 0.000
CELL_PARAMETERS angstrom
-2.784 4.561 0.654
-1.228 -1.471 5.030
4.103 2.266 1.665
```

Summary:
SG: P4/mmm
Mass density, g/cm3: 2.81
Energy relative to the elements, uncorrected, eV/atom: 1.92
DOS(E_F), states/eV/cell: 3.95

---

9.
VASP calculation (GGA-PBE) on a relaxed structure of RbInNO2. Values from VASP.

```
&SYSTEM
  ibrav = 0, nat = 5, ntyp = 4
/
ATOMIC_SPECIES
N 14.01 N.upf
In 114.82 In.upf
O 16.00 O.upf
Rb 85.47 Rb.upf
ATOMIC_POSITIONS crystal
N 0.000 0.000 0.500
In 0.000 0.000 0.000
O 0.500 0.000 0.000
O 0.000 0.500 0.000
Rb 0.500 0.500 0.500
CELL_PARAMETERS angstrom
-2.168 -1.102 3.613
3.628 0.553 2.345
-1.094 4.344 0.669
```

Summary:
SG: P4/mmm
Mass density, g/cm3: 4.76
Energy relative to the elements, uncorrected, eV/atom: -0.10
DOS(E_F), states/eV/cell: 3.12

---

10.
VASP calculation (GGA-PBE) on a relaxed structure of RbInNO2. Values from VASP.

```
&SYSTEM
  ibrav = 0, nat = 5, ntyp = 4
/
ATOMIC_SPECIES
O 16.00 O.upf
N 14.01 N.upf
In 114.82 In.upf
Rb 85.47 Rb.upf
ATOMIC_POSITIONS crystal
O 0.000 0.500 0.000
O 0.500 0.000 0.000
N 0.000 0.000 0.500
In 0.500 0.500 0.500
Rb 0.000 0.000 0.000
CELL_PARAMETERS angstrom
-2.310 -0.130 -4.501
1.392 -4.832 -0.574
-4.380 -1.534 2.292
```

Summary:
SG: P4/mmm
Mass density, g/cm3: 3.09
Energy relative to the elements, uncorrected, eV/atom: 1.25
DOS(E_F), states/eV/cell: 5.53

---

11.
VASP calculation (GGA-PBE) on a relaxed structure of RbInN2O. Values from VASP.

```
&SYSTEM
  ibrav = 0, nat = 5, ntyp = 4
/
ATOMIC_SPECIES
Rb 85.47 Rb.upf
N 14.01 N.upf
In 114.82 In.upf
O 16.00 O.upf
ATOMIC_POSITIONS crystal
Rb 0.500 0.500 0.500
N 0.500 0.000 0.000
N 0.000 0.500 0.000
In 0.000 0.000 0.000
O 0.000 0.000 0.500
CELL_PARAMETERS angstrom
4.529 0.000 0.000
0.000 4.529 0.000
0.000 0.000 4.386
```

Summary:
SG: P4/mmm
Mass density, g/cm3: 4.51
Energy relative to the elements, uncorrected, eV/atom: 0.70
DOS(E_F), states/eV/cell: 2.61

---

12.
VASP calculation (GGA-PBE) on a relaxed structure of InReN2O. Values from VASP.

```
&SYSTEM
  ibrav = 0, nat = 5, ntyp = 4
/
ATOMIC_SPECIES
Re 186.21 Re.upf
In 114.82 In.upf
N 14.01 N.upf
O 16.00 O.upf
ATOMIC_POSITIONS crystal
Re 0.000 0.000 0.000
In 0.500 0.500 0.500
N 0.000 0.500 0.000
N 0.500 0.000 0.000
O 0.000 0.000 0.500
CELL_PARAMETERS angstrom
-3.906 -0.401 0.617
0.735 -1.902 3.412
-0.048 3.430 1.923
```

Summary:
SG: P4/mmm
Mass density, g/cm3: 9.22
Energy relative to the elements, uncorrected, eV/atom: -0.03
DOS(E_F), states/eV/cell: 2.06